{"formula": "NdNi2Pt4", "functional": "GGA-PBE", "state": "relaxed", "cell": [[4.539, 0.002, 2.429], [2.100, 4.750, 1.532], [0.029, -0.326, 5.405]], "species": ["Nd", "Ni", "Ni", "Pt", "Pt", "Pt", "Pt"], "fractional_positions": [[0.000, 0.000, 0.000], [0.751, 0.500, 0.500], [0.249, 0.500, 0.500], [0.699, 0.601, 0.001], [0.301, 0.399, 0.999], [0.699, 0.001, 0.601], [0.301, 0.999, 0.399]], "total_magnetization_mub_per_atom": 0.257, "mass_density_g_cm3": 14.8, "space_group": "Immm (71)", "e_tot_ev_per_atom": -6.20}

{"formula": "Ag2GeTe2S", "functional": "GGA-PBE", "state": "relaxed", "cell": [[-3.963, 2.569, 5.102], [-0.079, -6.683, 3.303], [5.497, 4.968, 1.768]], "species": ["Ag", "Ag", "Ag", "Ag", "Ge", "Ge", "Te", "Te", "Te", "Te", "S", "S"], "fractional_positions": [[0.187, 0.819, 0.288], [0.187, 0.531, 0.712], [0.687, 0.181, 0.712], [0.687, 0.469, 0.288], [0.687, 0.854, 0.000], [0.187, 0.146, 0.000], [0.790, 0.849, 0.324], [0.790, 0.525, 0.676], [0.290, 0.475, 0.324], [0.290, 0.151, 0.676], [0.332, 0.862, 0.000], [0.832, 0.138, 0.000]], "total_magnetization_mub_per_atom": 0.000, "e_form_raw_kj_per_mol_atoms": -9, "mass_density_g_cm3": 5.6, "space_group": "Cmc2_1 (36)"}

{"formula": "PdRhO2", "functional": "GGA-PBE", "state": "relaxed", "cell": [[-4.677, 0.504, 2.993], [-2.485, -3.792, -3.245], [-2.708, -3.677, 1.581]], "species": ["Rh", "Rh", "O", "O", "O", "O", "Pd", "Pd"], "fractional_positions": [[0.750, 0.750, 0.500], [0.250, 0.250, 0.500], [0.750, 0.250, 0.000], [0.250, 0.750, 0.000], [0.250, 0.250, 0.000], [0.750, 0.750, 0.000], [0.750, 0.250, 0.500], [0.250, 0.750, 0.500]], "total_magnetization_mub_per_atom": 0.000, "e_form_raw_kj_per_mol_atoms": 38, "mass_density_g_cm3": 9.2, "space_group": "P4/mmm (123)"}

{"formula": "Cs8Cd2Au", "functional": "GGA-PBE", "state": "relaxed", "cell": [[-1.514, -5.924, -2.583], [-2.408, -3.113, 8.551], [-9.790, 7.902, -3.858]], "species": ["Cs", "Cs", "Cs", "Cs", "Cs", "Cs", "Cs", "Cs", "Cd", "Cd", "Au"], "fractional_positions": [[0.589, 0.410, 0.178], [0.341, 0.038, 0.682], [0.217, 0.318, 0.435], [0.032, 0.810, 0.064], [0.783, 0.682, 0.565], [0.659, 0.962, 0.318], [0.411, 0.590, 0.822], [0.968, 0.190, 0.936], [0.181, 0.710, 0.361], [0.819, 0.290, 0.639], [0.500, 0.000, 0.000]], "total_magnetization_mub_per_atom": 0.000, "mass_density_g_cm3": 3.2, "space_group": "C2/m (12)", "e_tot_ev_per_atom": -1.14}

{"formula": "Tl2HgRh", "functional": "GGA-PBE", "state": "relaxed", "cell": [[7.430, -0.017, -0.020], [6.768, 3.066, -0.020], [1.462, 0.314, 4.399]], "species": ["Tl", "Tl", "Rh", "Hg"], "fractional_positions": [[0.925, 0.925, 0.074], [0.575, 0.575, 0.426], [0.250, 0.250, 0.250], [0.750, 0.750, 0.750]], "total_magnetization_mub_per_atom": 0.000, "mass_density_g_cm3": 11.7, "space_group": "Immm (71)", "e_tot_ev_per_atom": -3.04}

{"formula": "Al2VRu", "functional": "GGA-PBE", "state": "relaxed", "cell": [[4.306, 0.000, 0.000], [2.153, 3.729, 0.000], [2.153, 1.243, 3.516]], "species": ["Ru", "Al", "Al", "V"], "fractional_positions": [[0.500, 0.500, 0.500], [0.250, 0.250, 0.250], [0.750, 0.750, 0.750], [0.000, 0.000, 0.000]], "total_magnetization_mub_per_atom": 0.506, "mass_density_g_cm3": 6.1, "space_group": "Fm-3m (225)", "e_tot_ev_per_atom": -6.86}

{"formula": "Sm3Zn3Ga8", "functional": "GGA-PBE", "state": "relaxed", "cell": [[4.264, 0.000, 0.000], [2.132, 8.060, -0.193], [2.132, 2.009, 7.808]], "species": ["Sm", "Sm", "Sm", "Zn", "Zn", "Zn", "Ga", "Ga", "Ga", "Ga", "Ga", "Ga", "Ga", "Ga"], "fractional_positions": [[0.500, 0.500, 0.500], [0.815, 0.185, 0.185], [0.185, 0.815, 0.815], [0.500, 0.000, 0.000], [0.000, 0.792, 0.208], [0.000, 0.208, 0.792], [0.639, 0.083, 0.640], [0.361, 0.917, 0.360], [0.639, 0.640, 0.083], [0.361, 0.360, 0.917], [0.840, 0.788, 0.531], [0.160, 0.212, 0.469], [0.840, 0.531, 0.788], [0.160, 0.469, 0.212]], "total_magnetization_mub_per_atom": 0.000, "mass_density_g_cm3": 7.4, "space_group": "Immm (71)", "e_tot_ev_per_atom": -3.48}

{"formula": "Ba4Ti3PtO12", "functional": "GGA-PBE", "state": "relaxed", "cell": [[5.790, 0.000, 0.000], [-2.895, 5.014, 0.000], [0.000, 0.000, 28.517]], "species": ["Ba", "Ba", "Ba", "Ba", "Ba", "Ba", "Ba", "Ba", "Ba", "Ba", "Ba", "Ba", "Ti", "Ti", "Ti", "Ti", "Ti", "Ti", "Ti", "Ti", "Ti", "Pt", "Pt", "Pt", "O", "O", "O", "O", "O", "O", "O", "O", "O", "O", "O", "O", "O", "O", "O", "O", "O", "O", "O", "O", "O", "O", "O", "O", "O", "O", "O", "O", "O", "O", "O", "O", "O", "O", "O", "O"], "fractional_positions": [[0.000, 0.000, 0.792], [0.000, 0.000, 0.298], [0.333, 0.667, 0.704], [0.333, 0.667, 0.203], [0.333, 0.667, 0.546], [0.333, 0.667, 0.048], [0.000, 0.000, 0.952], [0.000, 0.000, 0.451], [0.667, 0.333, 0.624], [0.667, 0.333, 0.126], [0.667, 0.333, 0.870], [0.667, 0.333, 0.374], [0.333, 0.667, 0.325], [0.333, 0.667, 0.924], [0.333, 0.667, 0.420], [0.000, 0.000, 0.573], [0.000, 0.000, 0.074], [0.667, 0.333, 0.748], [0.667, 0.333, 0.249], [0.667, 0.333, 0.998], [0.667, 0.333, 0.497], [0.000, 0.000, 0.669], [0.000, 0.000, 0.172], [0.333, 0.667, 0.831], [0.829, 0.171, 0.711], [0.829, 0.171, 0.212], [0.829, 0.657, 0.711], [0.829, 0.659, 0.212], [0.343, 0.171, 0.711], [0.341, 0.171, 0.212], [0.503, 0.497, 0.791], [0.500, 0.500, 0.292], [0.503, 0.006, 0.791], [0.500, 0.001, 0.292], [0.994, 0.497, 0.791], [0.999, 0.500, 0.292], [0.501, 0.499, 0.962], [0.502, 0.498, 0.460], [0.501, 0.003, 0.962], [0.502, 0.005, 0.460], [0.997, 0.499, 0.962], [0.995, 0.498, 0.460], [0.833, 0.167, 0.539], [0.833, 0.167, 0.041], [0.833, 0.667, 0.539], [0.833, 0.667, 0.041], [0.333, 0.167, 0.539], [0.333, 0.167, 0.041], [0.697, 0.848, 0.623], [0.697, 0.848, 0.125], [0.152, 0.848, 0.623], [0.152, 0.848, 0.125], [0.152, 0.303, 0.623], [0.152, 0.303, 0.125], [0.639, 0.819, 0.879], [0.631, 0.816, 0.376], [0.181, 0.819, 0.879], [0.184, 0.816, 0.376], [0.181, 0.361, 0.879], [0.184, 0.369, 0.376]], "total_magnetization_mub_per_atom": 0.000, "e_form_raw_kj_per_mol_atoms": -258, "mass_density_g_cm3": 6.5, "space_group": "P3m1 (156)"}

{"formula": "Cd11Hg3", "functional": "GGA-PBE", "state": "relaxed", "cell": [[-2.023, 2.310, 1.411], [0.618, -2.873, 9.636], [6.824, 7.047, 2.295]], "species": ["Cd", "Cd", "Cd", "Cd", "Cd", "Cd", "Cd", "Cd", "Cd", "Cd", "Cd", "Hg", "Hg", "Hg"], "fractional_positions": [[0.613, 0.746, 0.028], [0.821, 0.502, 0.856], [0.613, 0.028, 0.746], [0.500, 0.326, 0.674], [0.179, 0.144, 0.498], [0.000, 0.500, 0.500], [0.821, 0.856, 0.502], [0.500, 0.674, 0.326], [0.387, 0.972, 0.254], [0.179, 0.498, 0.144], [0.387, 0.254, 0.972], [0.000, 0.000, 0.000], [0.256, 0.744, 0.744], [0.744, 0.256, 0.256]], "total_magnetization_mub_per_atom": 0.000, "mass_density_g_cm3": 9.2, "space_group": "Immm (71)", "e_tot_ev_per_atom": -0.75}

{"formula": "CsKAg", "functional": "GGA-PBE", "state": "relaxed", "cell": [[6.200, 0.000, 0.000], [3.100, 5.370, 0.000], [3.100, 1.790, 5.063]], "species": ["Cs", "K", "Ag"], "fractional_positions": [[0.000, 0.000, 0.000], [0.500, 0.500, 0.500], [0.250, 0.250, 0.250]], "total_magnetization_mub_per_atom": 0.208, "mass_density_g_cm3": 2.8, "space_group": "F-43m (216)", "e_tot_ev_per_atom": -1.51}

{"formula": "LiTl3Ni2Cl9", "functional": "GGA-PBE", "state": "relaxed", "cell": [[6.901, 0.000, 0.000], [-3.451, 5.977, 0.000], [0.000, 0.000, 8.527]], "species": ["Li", "Tl", "Tl", "Tl", "Ni", "Ni", "Cl", "Cl", "Cl", "Cl", "Cl", "Cl", "Cl", "Cl", "Cl"], "fractional_positions": [[0.000, 0.000, 0.500], [0.333, 0.667, 0.664], [0.000, 0.000, 0.000], [0.667, 0.333, 0.336], [0.333, 0.667, 0.169], [0.667, 0.333, 0.831], [0.826, 0.174, 0.680], [0.826, 0.652, 0.680], [0.348, 0.174, 0.680], [0.652, 0.826, 0.320], [0.174, 0.348, 0.320], [0.174, 0.826, 0.320], [0.500, 0.000, 0.000], [0.000, 0.500, 0.000], [0.500, 0.500, 0.000]], "total_magnetization_mub_per_atom": 0.196, "e_form_raw_kj_per_mol_atoms": -81, "mass_density_g_cm3": 5.0, "space_group": "P-3m1 (164)"}

{"formula": "Tb5Sm3Y", "functional": "GGA-PBE", "state": "relaxed", "cell": [[9.405, -0.084, 1.644], [2.494, 9.069, 1.644], [5.604, 4.232, 9.331]], "species": ["Tb", "Tb", "Tb", "Tb", "Tb", "Tb", "Tb", "Tb", "Tb", "Tb", "Sm", "Sm", "Sm", "Sm", "Sm", "Sm", "Y", "Y"], "fractional_positions": [[0.846, 0.343, 0.253], [0.256, 0.744, 0.000], [0.818, 0.818, 0.959], [0.495, 0.495, 0.227], [0.505, 0.505, 0.773], [0.182, 0.182, 0.041], [0.343, 0.846, 0.253], [0.744, 0.256, 0.000], [0.154, 0.657, 0.747], [0.657, 0.154, 0.747], [0.694, 0.694, 0.814], [0.661, 0.661, 0.358], [0.000, 0.000, 0.000], [0.000, 0.000, 0.500], [0.306, 0.306, 0.186], [0.339, 0.339, 0.642], [0.155, 0.155, 0.597], [0.845, 0.845, 0.403]], "total_magnetization_mub_per_atom": 0.000, "mass_density_g_cm3": 6.7, "space_group": "C2/m (12)", "e_tot_ev_per_atom": -4.35}

{"formula": "SiGe3C", "functional": "GGA-PBE", "state": "relaxed", "cell": [[4.694, 0.000, 0.000], [0.000, 4.694, 0.000], [0.000, 0.000, 4.694]], "species": ["C", "Ge", "Ge", "Ge", "Si"], "fractional_positions": [[0.500, 0.500, 0.500], [0.000, 0.500, 0.000], [0.000, 0.000, 0.500], [0.500, 0.000, 0.000], [0.000, 0.000, 0.000]], "total_magnetization_mub_per_atom": 0.061, "e_form_raw_kj_per_mol_atoms": 174, "mass_density_g_cm3": 4.1, "space_group": "Pm-3m (221)"}

{"formula": "POsRuN", "functional": "GGA-PBE", "state": "relaxed", "cell": [[3.491, 0.000, 0.002], [0.000, 2.992, 0.000], [-0.702, 0.000, 5.167]], "species": ["P", "Os", "Ru", "N"], "fractional_positions": [[0.331, 0.000, 0.369], [0.396, 0.500, 0.716], [0.803, 0.500, 0.225], [0.923, 0.500, 0.866]], "total_magnetization_mub_per_atom": 0.000, "e_form_raw_kj_per_mol_atoms": 6, "mass_density_g_cm3": 10.3, "space_group": "Pm (6)"}

{"formula": "BaBe2Mo", "functional": "GGA-PBE", "state": "relaxed", "cell": [[-5.028, 1.800, 0.237], [-3.422, -3.038, 2.763], [4.854, 2.064, 0.868]], "species": ["Be", "Be", "Mo", "Ba"], "fractional_positions": [[0.000, 0.000, 0.000], [0.250, 0.750, 0.500], [0.500, 0.500, 0.000], [0.750, 0.250, 0.500]], "total_magnetization_mub_per_atom": 0.000, "mass_density_g_cm3": 5.7, "space_group": "I-4m2 (119)", "e_tot_ev_per_atom": -3.71}

{"formula": "La5Bi4As", "functional": "GGA-PBE", "state": "relaxed", "cell": [[4.603, 0.000, -0.649], [-0.091, 4.602, -0.649], [0.008, 0.008, 16.712]], "species": ["La", "La", "La", "La", "La", "Bi", "Bi", "Bi", "Bi", "As"], "fractional_positions": [[0.094, 0.094, 0.188], [0.500, 0.500, 0.000], [0.906, 0.906, 0.812], [0.300, 0.300, 0.600], [0.700, 0.700, 0.400], [0.401, 0.401, 0.801], [0.802, 0.802, 0.604], [0.198, 0.198, 0.396], [0.599, 0.599, 0.199], [0.000, 0.000, 0.000]], "total_magnetization_mub_per_atom": 0.000, "mass_density_g_cm3": 7.5, "space_group": "I4/mmm (139)", "e_tot_ev_per_atom": -5.61}

{"formula": "ReTc2Hg", "functional": "GGA-PBE", "state": "relaxed", "cell": [[-2.752, -0.716, 0.240], [1.172, -4.717, -0.624], [1.272, -3.529, 4.071]], "species": ["Hg", "Re", "Tc", "Tc"], "fractional_positions": [[0.500, 0.500, 0.500], [0.000, 0.000, 0.500], [0.000, 0.000, 0.000], [0.500, 0.500, 0.000]], "total_magnetization_mub_per_atom": 0.000, "mass_density_g_cm3": 15.3, "space_group": "P2/m (10)", "e_tot_ev_per_atom": -7.75}

{"formula": "Tc2NiPIr", "functional": "GGA-PBE", "state": "relaxed", "cell": [[-3.427, -2.695, 0.420], [2.529, -3.451, -1.507], [1.215, -0.904, 4.110]], "species": ["Ni", "Ir", "Tc", "Tc", "P"], "fractional_positions": [[0.000, 0.000, 0.000], [0.000, 0.500, 0.000], [0.000, 0.000, 0.500], [0.500, 0.000, 0.000], [0.500, 0.500, 0.500]], "total_magnetization_mub_per_atom": 0.487, "mass_density_g_cm3": 9.1, "space_group": "P4/mmm (123)", "e_tot_ev_per_atom": -6.54}

{"formula": "TbEuGdSc", "functional": "GGA-PBE", "state": "relaxed", "cell": [[-2.593, -4.627, -1.883], [2.231, -5.073, 0.981], [-2.482, -3.511, 3.632]], "species": ["Eu", "Sc", "Gd", "Tb"], "fractional_positions": [[0.750, 0.750, 0.750], [0.000, 0.000, 0.000], [0.250, 0.250, 0.250], [0.500, 0.500, 0.500]], "total_magnetization_mub_per_atom": 0.165, "mass_density_g_cm3": 6.8, "space_group": "F-43m (216)", "e_tot_ev_per_atom": -8.66}

{"formula": "Rb2SiAu", "functional": "GGA-PBE", "state": "relaxed", "cell": [[-4.663, 0.764, 6.407], [4.553, -7.026, 4.152], [5.173, 7.952, 2.818]], "species": ["Rb", "Rb", "Rb", "Rb", "Rb", "Rb", "Rb", "Rb", "Si", "Si", "Si", "Si", "Au", "Au", "Au", "Au"], "fractional_positions": [[0.716, 0.041, 0.244], [0.216, 0.459, 0.756], [0.284, 0.959, 0.756], [0.784, 0.541, 0.244], [0.783, 0.663, 0.757], [0.283, 0.837, 0.243], [0.217, 0.337, 0.243], [0.717, 0.163, 0.757], [0.563, 0.387, 0.500], [0.063, 0.113, 0.500], [0.437, 0.613, 0.500], [0.937, 0.887, 0.500], [0.355, 0.192, 0.500], [0.855, 0.308, 0.500], [0.645, 0.808, 0.500], [0.145, 0.692, 0.500]], "total_magnetization_mub_per_atom": 0.000, "e_form_raw_kj_per_mol_atoms": -15, "mass_density_g_cm3": 3.7, "space_group": "P2_1/c (14)"}

{"formula": "K3Nb2O5F2", "functional": "GGA-PBE", "state": "relaxed", "cell": [[-1.874, 0.255, -3.575], [-2.149, -3.308, 0.891], [-5.788, 7.816, 5.880]], "species": ["K", "K", "K", "Nb", "Nb", "O", "O", "O", "O", "O", "F", "F"], "fractional_positions": [[0.186, 0.186, 0.372], [0.814, 0.814, 0.628], [0.000, 0.000, 0.000], [0.410, 0.410, 0.820], [0.590, 0.590, 0.180], [0.595, 0.095, 0.190], [0.405, 0.905, 0.810], [0.095, 0.595, 0.190], [0.905, 0.405, 0.810], [0.500, 0.500, 0.000], [0.691, 0.691, 0.381], [0.309, 0.309, 0.619]], "total_magnetization_mub_per_atom": 0.000, "e_form_raw_kj_per_mol_atoms": -247, "mass_density_g_cm3": 3.9, "space_group": "I4/mmm (139)"}